[1]
First-principles (PBE) data for a relaxed KNa2Rh3O8 crystal, as listed in Alexandria.

Calculated values
* space group: No. 160
* raw formation energy: -0.989 eV per atom
* ρ: 4396 kg/m3

Lattice parameters (Å, degrees): 6.789 6.789 6.789 55.29 55.29 55.29
Sites, in units of the cell vectors:
K 0.000 0.000 0.000
Na 0.366 0.366 0.366
Na 0.746 0.746 0.746
Rh 0.366 0.366 0.865
Rh 0.366 0.865 0.366
Rh 0.865 0.366 0.366
O 0.115 0.115 0.544
O 0.115 0.544 0.115
O 0.143 0.143 0.143
O 0.178 0.620 0.620
O 0.544 0.115 0.115
O 0.594 0.594 0.594
O 0.620 0.178 0.620
O 0.620 0.620 0.178

=====

[2]
First-principles (PBE) data for a relaxed K3Na2RuO6 crystal, as listed in Alexandria.

Calculated values
* space group: No. 12
* raw formation energy: -1.255 eV per atom
* ρ: 3341 kg/m3

Lattice parameters (Å, degrees): 5.914 5.914 6.223 99.19 99.19 119.75
Sites, in units of the cell vectors:
K 0.000 0.000 0.000
K 0.326 0.674 0.000
K 0.674 0.326 0.000
Na 0.166 0.834 0.500
Na 0.834 0.166 0.500
Ru 0.500 0.500 0.500
O 0.167 0.437 0.313
O 0.296 0.296 0.689
O 0.437 0.167 0.313
O 0.563 0.833 0.687
O 0.704 0.704 0.311
O 0.833 0.563 0.687

=====

[3]
First-principles (PBE) data for a relaxed KNa2Ru3O8 crystal, as listed in Alexandria.

Calculated values
* space group: No. 160
* raw formation energy: -1.136 eV per atom
* ρ: 4488 kg/m3

Lattice parameters (Å, degrees): 6.827 6.827 6.827 53.55 53.55 53.55
Sites, in units of the cell vectors:
K 0.000 0.000 0.000
Na 0.262 0.262 0.262
Na 0.643 0.643 0.643
Ru 0.153 0.631 0.631
Ru 0.631 0.153 0.631
Ru 0.631 0.631 0.153
O 0.391 0.391 0.833
O 0.391 0.833 0.391
O 0.401 0.401 0.401
O 0.456 0.901 0.901
O 0.833 0.391 0.391
O 0.859 0.859 0.859
O 0.901 0.456 0.901
O 0.901 0.901 0.456